[1]
{
  "formula": "Sr4GeSb",
  "functional": "PBE",
  "state": "relaxed",
  "lattice_angstrom": [[-4.531, 5.076, -2.836], [-5.294, -6.962, 0.540], [2.946, 2.962, 7.904]],
  "species": ["Sr", "Sr", "Sr", "Sr", "Sr", "Sr", "Sr", "Sr", "Sb", "Sb", "Ge", "Ge"],
  "fractional_positions": [[0.801, 0.707, 0.650], [0.199, 0.293, 0.350], [0.349, 0.943, 0.650], [0.651, 0.057, 0.350], [0.010, 0.232, 0.878], [0.632, 0.354, 0.122], [0.368, 0.646, 0.878], [0.990, 0.768, 0.122], [0.615, 0.365, 0.729], [0.385, 0.635, 0.271], [0.749, 0.999, 0.997], [0.251, 0.001, 0.003]],
  "spacegroup": "C2/c (15)",
  "dos_at_fermi_per_ev_cell": 7.44,
  "final_energy_ev_per_atom": -3.222
}

[2]
{
  "formula": "Sr5Ge2Sb2",
  "functional": "PBE",
  "state": "relaxed",
  "lattice_angstrom": [[8.083, 0.000, 2.934], [0.000, 8.580, 0.000], [1.156, 0.000, 9.416]],
  "species": ["Sb", "Sb", "Sb", "Sb", "Ge", "Ge", "Ge", "Ge", "Sr", "Sr", "Sr", "Sr", "Sr", "Sr", "Sr", "Sr", "Sr", "Sr"],
  "fractional_positions": [[0.301, 0.500, 0.398], [0.699, 0.500, 0.602], [0.801, 0.000, 0.398], [0.199, 0.000, 0.602], [0.103, 0.397, 0.000], [0.897, 0.603, 0.000], [0.397, 0.897, 0.000], [0.603, 0.103, 0.000], [0.687, 0.331, 0.283], [0.969, 0.331, 0.717], [0.531, 0.831, 0.283], [0.000, 0.000, 0.000], [0.187, 0.169, 0.283], [0.313, 0.669, 0.717], [0.031, 0.669, 0.283], [0.813, 0.831, 0.717], [0.500, 0.500, 0.000], [0.469, 0.169, 0.717]],
  "spacegroup": "Cmce (64)",
  "dos_at_fermi_per_ev_cell": 10.78,
  "final_energy_ev_per_atom": -3.661
}

[3]
{
  "formula": "SrGeSb3",
  "functional": "PBE",
  "state": "relaxed",
  "lattice_angstrom": [[-3.227, -3.444, -2.741], [-1.912, -1.965, 4.719], [-3.965, 3.751, -0.045]],
  "species": ["Sb", "Sb", "Sb", "Sr", "Ge"],
  "fractional_positions": [[0.000, 0.000, 0.500], [0.500, 0.000, 0.000], [0.000, 0.500, 0.000], [0.500, 0.500, 0.500], [0.000, 0.000, 0.000]],
  "spacegroup": "Pm-3m (221)",
  "dos_at_fermi_per_ev_cell": 5.38,
  "de_polymorph_mev_per_atom": 0,
  "final_energy_ev_per_atom": -3.688
}

[4]
{
  "formula": "Sr3Ge2Sb2",
  "functional": "PBE",
  "state": "relaxed",
  "lattice_angstrom": [[-2.075, 2.419, -3.906], [-4.035, 0.397, 2.389], [6.012, 6.952, 4.365]],
  "species": ["Sr", "Sr", "Sr", "Sb", "Sb", "Ge", "Ge"],
  "fractional_positions": [[0.320, 0.820, 0.639], [0.680, 0.180, 0.361], [0.000, 0.000, 0.000], [0.859, 0.359, 0.718], [0.141, 0.641, 0.282], [0.568, 0.568, 0.135], [0.432, 0.432, 0.865]],
  "spacegroup": "Immm (71)",
  "dos_at_fermi_per_ev_cell": 1.89,
  "final_energy_ev_per_atom": -3.874
}

[5]
{
  "formula": "SrGeSb3",
  "functional": "PBE",
  "state": "relaxed",
  "lattice_angstrom": [[-1.588, 0.834, 5.648], [4.502, -3.423, 1.770], [3.511, 4.765, 0.284]],
  "species": ["Sr", "Ge", "Sb", "Sb", "Sb"],
  "fractional_positions": [[0.000, 0.000, 0.000], [0.500, 0.500, 0.500], [0.500, 0.000, 0.000], [0.000, 0.500, 0.000], [0.000, 0.000, 0.500]],
  "spacegroup": "Pm-3m (221)",
  "dos_at_fermi_per_ev_cell": 4.80,
  "de_polymorph_mev_per_atom": 974,
  "final_energy_ev_per_atom": -2.714
}

[6]
{
  "formula": "Sr2GeSb",
  "functional": "PBE",
  "state": "relaxed",
  "lattice_angstrom": [[-7.769, -3.643, 1.601], [1.334, -5.693, -6.481], [-1.709, -6.891, -0.177]],
  "species": ["Sb", "Sb", "Sr", "Sr", "Sr", "Sr", "Ge", "Ge"],
  "fractional_positions": [[0.000, 0.000, 0.000], [0.750, 0.250, 0.500], [0.875, 0.864, 0.750], [0.375, 0.386, 0.750], [0.136, 0.625, 0.250], [0.614, 0.125, 0.250], [0.250, 0.750, 0.500], [0.500, 0.500, 0.000]],
  "spacegroup": "I-42d (122)",
  "dos_at_fermi_per_ev_cell": 6.88,
  "de_polymorph_mev_per_atom": 259,
  "final_energy_ev_per_atom": -3.392
}